[1]
The following is a DFT calculation (GGA-PBE) of a relaxed Mg2InMo crystal.

Geometry as CIF:
```
data_Mg2InMo
_cell_length_a 3.0765
_cell_length_b 3.0765
_cell_length_c 29.1284
_cell_angle_alpha 90.00
_cell_angle_beta 90.00
_cell_angle_gamma 120.00
_space_group_name_H-M_alt 'R -3 m'
_space_group_IT_number 166
_space_group_name_Hall '-R 3 2"'
loop_
_atom_site_label
_atom_site_type_symbol
_atom_site_fract_x
_atom_site_fract_y
_atom_site_fract_z
Mg1 Mg 0.0000 0.0000 0.2454
In1 In 0.0000 0.0000 0.0000
Mo1 Mo 0.0000 0.0000 0.5000
```

Calculated values
Crystal system ... trigonal
Density ... 5.4 g/cm3
M_tot ... 0.00 Bohr magnetons per cell
Uncorrected energy ... -3.898 eV/atom

[2]
The following is a DFT calculation (GGA-PBE) of a relaxed MgInMo2 crystal.

Geometry as CIF:
```
data_MgInMo2
_cell_length_a 7.464
_cell_length_b 7.464
_cell_length_c 5.460
_cell_angle_alpha 90.00
_cell_angle_beta 90.00
_cell_angle_gamma 90.00
_space_group_name_H-M_alt 'I -4 2 d'
_space_group_IT_number 122
_space_group_name_Hall 'I -4 2bw'
loop_
_atom_site_label
_atom_site_type_symbol
_atom_site_fract_x
_atom_site_fract_y
_atom_site_fract_z
Mg1 Mg 0.000 0.000 0.000
In1 In 0.000 0.000 0.500
Mo1 Mo 0.249 0.250 0.125
```

Calculated values
Offset from the most stable computed form ... 75.6 kJ/mol of atoms
Crystal system ... tetragonal
Density ... 7.2 g/cm3
M_tot ... 0.00 Bohr magnetons per cell
Uncorrected energy ... -5.584 eV/atom

[3]
The following is a DFT calculation (GGA-PBE) of a relaxed MgInMo2 crystal.

Geometry as CIF:
```
data_MgInMo2
_cell_length_a 2.793
_cell_length_b 4.551
_cell_length_c 5.562
_cell_angle_alpha 90.00
_cell_angle_beta 90.00
_cell_angle_gamma 90.00
_space_group_name_H-M_alt 'P m m m'
_space_group_IT_number 47
_space_group_name_Hall '-P 2 2'
loop_
_atom_site_label
_atom_site_type_symbol
_atom_site_fract_x
_atom_site_fract_y
_atom_site_fract_z
Mg1 Mg 0.000 0.000 0.000
In1 In 0.000 0.000 0.500
Mo1 Mo 0.500 0.500 0.236
```

Calculated values
Offset from the most stable computed form ... 23.5 kJ/mol of atoms
Crystal system ... orthorhombic
Density ... 7.8 g/cm3
M_tot ... 0.00 Bohr magnetons per cell
Uncorrected energy ... -6.124 eV/atom